The following is a GGA-PBE calculation of BaB2O4 after structural relaxation, from the Alexandria database.

Output
DOS at the Fermi energy   0.0 states/eV per cell
Polymorph energy (0 for the lowest one)   0.0007 eV/atom
ΔE_f (raw)   -2.696 eV per atom
Theoretical density   3.7 g/cm³
Final energy   -7.711 eV/atom
SG   R3c

Unit cell a=8.516 b=8.516 c=8.516 alpha=96.12 beta=96.12 gamma=96.12
Fractional positions:
O: 0.286 0.999 0.429
O: 0.929 0.499 0.786
O: 0.964 0.922 0.129
O: 0.129 0.964 0.922
O: 0.365 0.149 0.223
O: 0.649 0.865 0.723
O: 0.096 0.175 0.763
O: 0.763 0.096 0.175
O: 0.596 0.263 0.675
O: 0.675 0.596 0.263
O: 0.922 0.129 0.964
O: 0.149 0.223 0.365
O: 0.429 0.286 0.999
O: 0.175 0.763 0.096
O: 0.786 0.929 0.499
O: 0.464 0.629 0.422
O: 0.263 0.675 0.596
O: 0.865 0.723 0.649
O: 0.723 0.649 0.865
O: 0.422 0.464 0.629
O: 0.999 0.429 0.286
O: 0.499 0.786 0.929
O: 0.223 0.365 0.149
O: 0.629 0.422 0.464
B: 0.049 0.094 0.877
B: 0.344 0.267 0.120
B: 0.877 0.049 0.094
B: 0.549 0.377 0.594
B: 0.377 0.594 0.549
B: 0.120 0.344 0.267
B: 0.594 0.549 0.377
B: 0.267 0.120 0.344
B: 0.620 0.767 0.844
B: 0.767 0.844 0.620
B: 0.094 0.877 0.049
B: 0.844 0.620 0.767
Ba: 0.880 0.241 0.528
Ba: 0.528 0.880 0.241
Ba: 0.028 0.741 0.380
Ba: 0.380 0.028 0.741
Ba: 0.241 0.528 0.880
Ba: 0.741 0.380 0.028

The following is a GGA-PBE calculation of LiZr3Tl4Se8 after structural relaxation, from the Alexandria database.

Output
DOS at the Fermi energy   5.2 states/eV per cell
ΔE_f (raw)   -0.977 eV per atom
Theoretical density   6.8 g/cm³
Final energy   -5.033 eV/atom
SG   R-3m

Unit cell a=7.883 b=9.023 c=7.886 alpha=115.92 beta=119.99 gamma=90.00
Fractional positions:
Se: 0.727 0.697 0.962
Se: 0.235 0.697 0.962
Se: 0.266 0.298 0.532
Se: 0.273 0.303 0.038
Se: 0.235 0.697 0.470
Se: 0.765 0.303 0.530
Se: 0.734 0.702 0.468
Se: 0.765 0.303 0.038
Tl: 0.500 0.000 0.500
Tl: 0.500 0.000 0.000
Tl: 0.000 0.000 0.000
Tl: 0.000 0.000 0.500
Zr: 0.500 0.500 0.500
Zr: 0.000 0.500 0.500
Zr: 0.500 0.500 0.000
Li: 0.000 0.500 0.000

Copy entry 2 word for word.
The following is a GGA-PBE calculation of LiZr3Tl4Se8 after structural relaxation, from the Alexandria database.

Output
DOS at the Fermi energy   5.2 states/eV per cell
ΔE_f (raw)   -0.977 eV per atom
Theoretical density   6.8 g/cm³
Final energy   -5.033 eV/atom
SG   R-3m

Unit cell a=7.883 b=9.023 c=7.886 alpha=115.92 beta=119.99 gamma=90.00
Fractional positions:
Se: 0.727 0.697 0.962
Se: 0.235 0.697 0.962
Se: 0.266 0.298 0.532
Se: 0.273 0.303 0.038
Se: 0.235 0.697 0.470
Se: 0.765 0.303 0.530
Se: 0.734 0.702 0.468
Se: 0.765 0.303 0.038
Tl: 0.500 0.000 0.500
Tl: 0.500 0.000 0.000
Tl: 0.000 0.000 0.000
Tl: 0.000 0.000 0.500
Zr: 0.500 0.500 0.500
Zr: 0.000 0.500 0.500
Zr: 0.500 0.500 0.000
Li: 0.000 0.500 0.000